First-principles (GGA-PBE) data for a geometry-optimized NaAl2RuO6 structure, as listed in Alexandria.

Lattice parameters (Å, degrees): 7.011 7.011 5.992 105.06 105.06 101.97
Fractional positions:
Na: 0.098 0.902 0.750
Na: 0.902 0.098 0.250
Al: 0.299 0.443 0.829
Al: 0.443 0.299 0.329
Al: 0.557 0.701 0.671
Al: 0.701 0.557 0.171
Ru: 0.201 0.799 0.250
Ru: 0.799 0.201 0.750
O: 0.054 0.223 0.701
O: 0.166 0.633 0.942
O: 0.223 0.054 0.201
O: 0.335 0.434 0.541
O: 0.367 0.834 0.558
O: 0.434 0.335 0.041
O: 0.566 0.665 0.959
O: 0.633 0.166 0.442
O: 0.665 0.566 0.459
O: 0.777 0.946 0.799
O: 0.834 0.367 0.058
O: 0.946 0.777 0.299

Results
**DOS at the Fermi energy**: 0.827 states/eV per cell
**Energy**: -134.1 eV for the cell shown
**Mass density**: 3.5 g/cm³
**Raw formation energy**: -1.92 eV/atom

First-principles (GGA-PBE) data for a geometry-optimized NaAlS2O8 structure, as listed in Alexandria.

Lattice parameters (Å, degrees): 4.765 4.765 7.578 90.00 90.00 120.00
Fractional positions:
Na: 0.000 0.000 0.000
Al: 0.000 0.000 0.500
S: 0.333 0.667 0.717
S: 0.667 0.333 0.283
O: 0.071 0.347 0.651
O: 0.276 0.929 0.651
O: 0.333 0.667 0.910
O: 0.347 0.276 0.349
O: 0.653 0.724 0.651
O: 0.667 0.333 0.090
O: 0.724 0.071 0.349
O: 0.929 0.653 0.349

Results
**DOS at the Fermi energy**: 0.000 states/eV per cell
**Energy**: -74.9 eV for the cell shown
**Mass density**: 2.7 g/cm³
**Raw formation energy**: -1.83 eV/atom

First-principles (GGA-PBE) data for a geometry-optimized NaAlS2O8 structure, as listed in Alexandria.

Lattice parameters (Å, degrees): 4.739 4.739 7.237 91.31 91.31 64.68
Fractional positions:
Na: 0.000 0.000 0.000
Al: 0.000 0.000 0.500
S: 0.356 0.356 0.714
S: 0.644 0.644 0.286
O: 0.225 0.704 0.689
O: 0.227 0.227 0.563
O: 0.290 0.290 0.898
O: 0.296 0.775 0.311
O: 0.704 0.225 0.689
O: 0.710 0.710 0.102
O: 0.773 0.773 0.437
O: 0.775 0.296 0.311

Results
**DOS at the Fermi energy**: 0.000 states/eV per cell
**Energy**: -75.1 eV for the cell shown
**Mass density**: 2.7 g/cm³
**Raw formation energy**: -1.84 eV/atom

First-principles (GGA-PBE) data for a geometry-optimized NaAl2SO6 structure, as listed in Alexandria.

Lattice parameters (Å, degrees): 6.634 6.634 5.882 103.85 103.85 99.57
Fractional positions:
Na: 0.097 0.903 0.750
Na: 0.903 0.097 0.250
Al: 0.290 0.454 0.846
Al: 0.454 0.290 0.346
Al: 0.546 0.710 0.654
Al: 0.710 0.546 0.154
S: 0.205 0.795 0.250
S: 0.795 0.205 0.750
O: 0.020 0.237 0.714
O: 0.147 0.654 0.952
O: 0.237 0.020 0.214
O: 0.328 0.428 0.549
O: 0.346 0.853 0.548
O: 0.428 0.328 0.049
O: 0.572 0.672 0.951
O: 0.654 0.147 0.452
O: 0.672 0.572 0.451
O: 0.763 0.980 0.786
O: 0.853 0.346 0.048
O: 0.980 0.763 0.286

Results
**Energy**: -125.6 eV for the cell shown
**Mass density**: 2.9 g/cm³
**Raw formation energy**: -2.01 eV/atom

| no. | total moment (μB per formula unit) |
| --- | --- |
| 1 | 1.0 |
| 2 | 0.0 |
| 3 | 0.0 |
| 4 | 1.0 |